! AcNd4Ho2 | Alexandria via LeMat-Bulk | GGA-PBE | relaxed; values from VASP
! Relative energy among the computed polymorphs (meV/atom): 0
! Space group: R-3m
! Raw total energy (eV per cell): -31.47
! Energy of formation (eV/atom): 0.124
&SYSTEM
  ibrav = 0, nat = 7, ntyp = 3
/
ATOMIC_SPECIES
Ac 227.00 Ac.upf
Nd 144.24 Nd.upf
Ho 164.93 Ho.upf
ATOMIC_POSITIONS crystal
Ac 0.000 0.000 0.000
Nd 0.423 0.423 0.732
Nd 0.269 0.269 0.194
Nd 0.731 0.731 0.806
Nd 0.577 0.577 0.268
Ho 0.139 0.139 0.584
Ho 0.861 0.861 0.416
CELL_PARAMETERS angstrom
-4.930 -3.009 0.669
0.000 -5.773 -0.693
0.074 -3.913 8.210

=====

! Al2TlAg | Alexandria via LeMat-Bulk | GGA-PBE | relaxed; values from VASP
! Space group: C2/m
! Raw total energy (eV per cell): -12.06
! Energy of formation (eV/atom): 0.161
&SYSTEM
  ibrav = 0, nat = 4, ntyp = 3
/
ATOMIC_SPECIES
Tl 204.38 Tl.upf
Al 26.98 Al.upf
Ag 107.87 Ag.upf
ATOMIC_POSITIONS crystal
Tl 0.750 0.750 0.750
Al 0.991 0.991 0.057
Al 0.509 0.509 0.443
Ag 0.250 0.250 0.250
CELL_PARAMETERS angstrom
4.670 -0.049 0.037
3.494 3.099 0.037
1.305 0.488 5.735

=====

! Sc2HSe | Alexandria via LeMat-Bulk | GGA-PBE | relaxed; values from VASP
! Relative energy among the computed polymorphs (meV/atom): 76
! Space group: I-42d
! Raw total energy (eV per cell): -46.47
&SYSTEM
  ibrav = 0, nat = 8, ntyp = 3
/
ATOMIC_SPECIES
Sc 44.96 Sc.upf
H 1.01 H.upf
Se 78.96 Se.upf
ATOMIC_POSITIONS crystal
Sc 0.542 0.125 0.250
Sc 0.208 0.625 0.250
Sc 0.375 0.458 0.750
Sc 0.875 0.792 0.750
H 0.500 0.500 0.000
H 0.250 0.750 0.500
Se 0.000 0.000 0.000
Se 0.750 0.250 0.500
CELL_PARAMETERS angstrom
6.337 0.000 0.000
0.000 6.337 0.000
3.169 3.169 3.173

=====

! Nd4HgOs | Alexandria via LeMat-Bulk | GGA-PBE | relaxed; values from VASP
! Relative energy among the computed polymorphs (meV/atom): 0
! Space group: F-43m
! Raw total energy (eV per cell): -128.30
! Energy of formation (eV/atom): -0.245
&SYSTEM
  ibrav = 0, nat = 24, ntyp = 3
/
ATOMIC_SPECIES
Nd 144.24 Nd.upf
Hg 200.59 Hg.upf
Os 190.23 Os.upf
ATOMIC_POSITIONS crystal
Nd 0.403 0.403 0.403
Nd 0.791 0.403 0.403
Nd 0.403 0.791 0.403
Nd 0.403 0.403 0.791
Nd 0.558 0.558 0.942
Nd 0.942 0.942 0.558
Nd 0.558 0.942 0.558
Nd 0.942 0.558 0.942
Nd 0.942 0.558 0.558
Nd 0.558 0.942 0.942
Nd 0.191 0.191 0.809
Nd 0.809 0.809 0.191
Nd 0.191 0.809 0.191
Nd 0.809 0.191 0.809
Nd 0.809 0.191 0.191
Nd 0.191 0.809 0.809
Hg 0.167 0.167 0.167
Hg 0.499 0.167 0.167
Hg 0.167 0.499 0.167
Hg 0.167 0.167 0.499
Os 0.612 0.612 0.612
Os 0.164 0.612 0.612
Os 0.612 0.164 0.612
Os 0.612 0.612 0.164
CELL_PARAMETERS angstrom
8.585 0.000 4.956
2.862 8.094 4.956
0.000 0.000 9.913

=====

! CsLiAuSe2 | Alexandria via LeMat-Bulk | GGA-PBE | relaxed; values from VASP
! ΔE_f (raw) (meV/atom): -727
! Relative energy among the computed polymorphs (meV/atom): 0
! Space group: Cmme
! Raw total energy (eV per cell): -33.30
&SYSTEM
  ibrav = 0, nat = 10, ntyp = 4
/
ATOMIC_SPECIES
Cs 132.91 Cs.upf
Li 6.94 Li.upf
Au 196.97 Au.upf
Se 78.96 Se.upf
ATOMIC_POSITIONS crystal
Cs 0.230 0.750 0.500
Cs 0.770 0.250 0.500
Li 0.500 0.750 0.000
Li 0.500 0.250 0.000
Au 0.000 0.000 0.000
Au 0.000 0.500 0.000
Se 0.713 0.893 0.786
Se 0.713 0.607 0.214
Se 0.287 0.393 0.786
Se 0.287 0.107 0.214
CELL_PARAMETERS angstrom
6.364 0.000 0.000
0.000 5.748 0.000
0.000 -2.874 7.803

=====

! InPRhO2 | Alexandria via LeMat-Bulk | GGA-PBE | relaxed; values from VASP
! ΔE_f (raw) (meV/atom): 402
! Relative energy among the computed polymorphs (meV/atom): 624
! Space group: P4/mmm
! Raw total energy (eV per cell): -23.41
&SYSTEM
  ibrav = 0, nat = 5, ntyp = 4
/
ATOMIC_SPECIES
P 30.97 P.upf
Rh 102.91 Rh.upf
O 16.00 O.upf
In 114.82 In.upf
ATOMIC_POSITIONS crystal
P 0.000 0.000 0.500
Rh 0.500 0.500 0.500
O 0.000 0.500 0.000
O 0.500 0.000 0.000
In 0.000 0.000 0.000
CELL_PARAMETERS angstrom
-0.841 -1.702 -3.392
-0.755 -3.330 1.858
-5.804 1.656 0.609

=====

! Hf5Cd2Hg4 | Alexandria via LeMat-Bulk | GGA-PBE | relaxed; values from VASP
! Space group: C2/m
! Raw total energy (eV per cell): -52.33
! Energy of formation (eV/atom): 0.043
&SYSTEM
  ibrav = 0, nat = 11, ntyp = 3
/
ATOMIC_SPECIES
Hf 178.49 Hf.upf
Cd 112.41 Cd.upf
Hg 200.59 Hg.upf
ATOMIC_POSITIONS crystal
Hf 0.426 0.194 0.682
Hf 0.992 0.900 0.628
Hf 0.008 0.100 0.372
Hf 0.574 0.806 0.318
Hf 0.500 0.000 0.000
Cd 0.543 0.425 0.837
Cd 0.457 0.575 0.163
Hg 0.055 0.242 0.118
Hg 0.434 0.394 0.421
Hg 0.945 0.758 0.882
Hg 0.566 0.606 0.579
CELL_PARAMETERS angstrom
3.133 0.578 -0.446
0.587 7.440 2.192
-3.556 1.379 11.694

=====

! LiZnRuPb | Alexandria via LeMat-Bulk | GGA-PBE | relaxed; values from VASP
! Space group: F-43m
! Raw total energy (eV per cell): -16.06
! Energy of formation (eV/atom): 0.028
&SYSTEM
  ibrav = 0, nat = 4, ntyp = 4
/
ATOMIC_SPECIES
Pb 207.20 Pb.upf
Ru 101.07 Ru.upf
Zn 65.41 Zn.upf
Li 6.94 Li.upf
ATOMIC_POSITIONS crystal
Pb 0.000 0.000 0.000
Ru 0.250 0.250 0.250
Zn 0.500 0.500 0.500
Li 0.750 0.750 0.750
CELL_PARAMETERS angstrom
-4.339 -1.179 0.605
-1.866 -3.205 -2.614
-1.025 -4.053 1.763